w | A PBEsol-optimized structure of BaCuRe, computed with meta-GGA SCAN.

The structure in CIF format:
```
data_BaCuRe
_space_group_name_H-M_alt 'I m m 2'
_space_group_IT_number 44
_space_group_name_Hall 'I 2 -2'
_cell_length_a 2.957
_cell_length_b 3.738
_cell_length_c 11.479
_cell_angle_alpha 90.00
_cell_angle_beta 90.00
_cell_angle_gamma 90.00
loop_
_atom_site_label
_atom_site_type_symbol
_atom_site_fract_x
_atom_site_fract_y
_atom_site_fract_z
Ba1 Ba 0.000 0.000 0.000
Cu1 Cu 0.000 0.000 0.716
Re1 Re 0.000 0.000 0.286
```



x | A PBEsol-optimized structure of BaCuRe, computed with meta-GGA SCAN.

The structure in CIF format:
```
data_BaCuRe
_space_group_name_H-M_alt 'F -4 3 m'
_space_group_IT_number 216
_space_group_name_Hall 'F -4 2 3'
_cell_length_a 6.813
_cell_length_b 6.813
_cell_length_c 6.813
_cell_angle_alpha 90.00
_cell_angle_beta 90.00
_cell_angle_gamma 90.00
loop_
_atom_site_label
_atom_site_type_symbol
_atom_site_fract_x
_atom_site_fract_y
_atom_site_fract_z
Ba1 Ba 0.000 0.000 0.000
Cu1 Cu 0.250 0.250 0.250
Re1 Re 0.250 0.250 0.750
```



The most stable of them is w.